No. 1
{
  "formula": "Pr2DyCd2",
  "functional": "PBE",
  "state": "optimized geometry",
  "cell": [[3.753, 0.000, -0.502], [0.000, 5.431, 0.000], [0.026, 0.000, 14.436]],
  "species": ["Cd", "Cd", "Pr", "Dy", "Cd", "Dy", "Cd", "Pr", "Pr", "Pr"],
  "fractional_positions": [[0.559, 0.250, 0.116], [0.441, 0.750, 0.884], [0.767, 0.250, 0.532], [0.850, 0.750, 0.702], [0.362, 0.250, 0.724], [0.150, 0.250, 0.298], [0.638, 0.750, 0.276], [0.233, 0.750, 0.468], [0.956, 0.250, 0.914], [0.044, 0.750, 0.086]],
  "e_form_ev_per_atom": -0.2448,
  "polymorph_energy_mev_per_atom": 0,
  "energy_ev_per_atom": -3.443,
  "space_group": "P2_1/m (11)",
  "n_ef_per_ev_atom": 1.11
}

---

No. 2
{
  "formula": "Pr12Dy5Cd2",
  "functional": "PBE",
  "state": "optimized geometry",
  "cell": [[-2.403, 8.904, 1.515], [-6.417, -6.451, -1.097], [0.466, -1.331, 8.562]],
  "species": ["Pr", "Dy", "Pr", "Pr", "Pr", "Pr", "Pr", "Pr", "Dy", "Pr", "Cd", "Pr", "Dy", "Pr", "Dy", "Pr", "Pr", "Cd", "Dy"],
  "fractional_positions": [[0.821, 0.252, 0.674], [0.768, 0.536, 0.423], [0.081, 0.162, 0.882], [0.037, 0.703, 0.766], [0.569, 0.748, 0.326], [0.963, 0.297, 0.234], [0.559, 0.118, 0.330], [0.919, 0.838, 0.118], [0.695, 0.390, 0.020], [0.666, 0.703, 0.766], [0.332, 0.000, 0.000], [0.334, 0.297, 0.234], [0.232, 0.464, 0.577], [0.431, 0.252, 0.674], [0.305, 0.610, 0.980], [0.179, 0.748, 0.326], [0.441, 0.882, 0.670], [0.668, 0.000, 0.000], [0.000, 0.000, 0.500]],
  "e_form_ev_per_atom": 0.0372,
  "energy_ev_per_atom": -4.289,
  "space_group": "C2/m (12)",
  "n_ef_per_ev_atom": 1.48
}

---

No. 3
{
  "formula": "Pr15Dy4Cd",
  "functional": "PBE",
  "state": "optimized geometry",
  "cell": [[5.149, 0.000, 0.000], [0.000, 5.149, 0.000], [0.000, 0.000, 25.940]],
  "species": ["Dy", "Dy", "Pr", "Pr", "Pr", "Pr", "Pr", "Cd", "Dy", "Pr", "Pr", "Pr", "Pr", "Dy", "Pr", "Pr", "Pr", "Pr", "Pr", "Pr"],
  "fractional_positions": [[0.000, 0.000, 0.399], [0.000, 0.000, 0.803], [0.000, 0.500, 0.298], [0.500, 0.000, 0.500], [0.500, 0.500, 0.399], [0.000, 0.500, 0.500], [0.500, 0.500, 0.803], [0.000, 0.000, 0.000], [0.000, 0.000, 0.197], [0.500, 0.000, 0.903], [0.500, 0.000, 0.097], [0.500, 0.500, 0.197], [0.500, 0.500, 0.601], [0.000, 0.000, 0.601], [0.500, 0.500, 0.000], [0.500, 0.000, 0.298], [0.500, 0.000, 0.702], [0.000, 0.500, 0.702], [0.000, 0.500, 0.903], [0.000, 0.500, 0.097]],
  "e_form_ev_per_atom": -0.0096,
  "energy_ev_per_atom": -4.560,
  "space_group": "P4/mmm (123)",
  "n_ef_per_ev_atom": 1.40
}

---

No. 4
{
  "formula": "Pr4DyCd5",
  "functional": "PBE",
  "state": "optimized geometry",
  "cell": [[-3.002, -2.169, 1.015], [2.394, -2.770, 1.161], [0.384, 7.794, 17.795]],
  "species": ["Pr", "Pr", "Pr", "Cd", "Pr", "Cd", "Cd", "Cd", "Cd", "Dy"],
  "fractional_positions": [[0.000, 0.000, 0.805], [0.000, 0.000, 0.195], [0.000, 0.000, 0.602], [0.500, 0.500, 0.703], [0.000, 0.000, 0.398], [0.500, 0.500, 0.500], [0.500, 0.500, 0.909], [0.500, 0.500, 0.297], [0.500, 0.500, 0.091], [0.000, 0.000, 0.000]],
  "e_form_ev_per_atom": -0.3157,
  "energy_ev_per_atom": -3.145,
  "space_group": "P4/mmm (123)",
  "n_ef_per_ev_atom": 1.19
}

---

No. 5
{
  "formula": "Pr4Dy2Cd",
  "functional": "PBE",
  "state": "optimized geometry",
  "cell": [[-3.573, -0.313, -0.078], [0.334, -5.508, 6.748], [1.029, 8.380, 1.788]],
  "species": ["Dy", "Pr", "Cd", "Dy", "Pr", "Pr", "Pr"],
  "fractional_positions": [[0.783, 0.862, 0.566], [0.631, 0.388, 0.262], [0.000, 0.000, 0.000], [0.217, 0.138, 0.434], [0.917, 0.295, 0.833], [0.083, 0.705, 0.167], [0.369, 0.612, 0.738]],
  "e_form_ev_per_atom": 0.0272,
  "polymorph_energy_mev_per_atom": 35,
  "energy_ev_per_atom": -4.150,
  "space_group": "C2/m (12)",
  "n_ef_per_ev_atom": 1.33
}

---

No. 6
{
  "formula": "Pr3DyCd3",
  "functional": "PBE",
  "state": "optimized geometry",
  "cell": [[-0.463, -0.028, -7.207], [6.640, -2.471, 1.397], [-3.831, -7.721, 0.971]],
  "species": ["Pr", "Cd", "Cd", "Cd", "Pr", "Cd", "Cd", "Dy", "Pr", "Pr", "Pr", "Pr", "Cd", "Dy"],
  "fractional_positions": [[0.174, 0.826, 0.500], [0.105, 0.451, 0.287], [0.895, 0.549, 0.713], [0.549, 0.895, 0.713], [0.756, 0.244, 0.000], [0.993, 0.993, 0.793], [0.451, 0.105, 0.287], [0.701, 0.701, 0.972], [0.244, 0.756, 0.000], [0.361, 0.361, 0.630], [0.826, 0.174, 0.500], [0.639, 0.639, 0.370], [0.007, 0.007, 0.207], [0.299, 0.299, 0.028]],
  "e_form_ev_per_atom": -0.1071,
  "energy_ev_per_atom": -3.205,
  "space_group": "C2/m (12)",
  "n_ef_per_ev_atom": 1.09
}